Entry 1:
VASP calculation (PBE) on an optimized crystal structure of Ca2CeHoO6.

## Properties
* formation energy without anion corrections: -2992 meV per atom

a b c (Å): 5.806 6.024 10.249
angles (deg): 90.00 124.39 90.00
Space group P2_1/c (No. 14)
Asymmetric unit:
Ca1 0.228 0.054 0.251 (multiplicity 4)
Ce1 0.500 0.000 0.000 (multiplicity 2)
Ho1 0.000 0.000 0.500 (multiplicity 2)
O1 0.124 0.200 0.924 (multiplicity 4)
O2 0.231 0.702 0.926 (multiplicity 4)
O3 0.387 0.070 0.750 (multiplicity 4)

---

Entry 2:
VASP calculation (PBE) on an optimized crystal structure of CaCeHo2O6.

## Properties
* formation energy without anion corrections: -3382 meV per atom

a b c (Å): 5.8591 5.8591 15.1933
angles (deg): 90.00 90.00 120.00
Space group R3 (No. 146, hexagonal axes)
Asymmetric unit:
Ca1 0.0000 0.0000 0.0000 (multiplicity 3)
Ce1 0.0000 0.0000 0.5051 (multiplicity 3)
Ho1 0.0000 0.0000 0.2187 (multiplicity 3)
Ho2 0.0000 0.0000 0.7198 (multiplicity 3)
O1 0.0369 0.3643 0.7824 (multiplicity 9)
O2 0.0609 0.6876 0.2780 (multiplicity 9)

---

Entry 3:
VASP calculation (PBE) on an optimized crystal structure of CaCe2HoP4.

## Properties
* electronic total energy: -6.439 eV per atom

a b c (Å): 7.004 4.088 7.099
angles (deg): 90.00 109.63 90.00
Space group P2/m (No. 10)
Asymmetric unit:
Ca1 0.000 0.000 0.000 (multiplicity 1)
Ce1 0.500 0.000 0.500 (multiplicity 1)
Ce2 0.500 0.500 0.000 (multiplicity 1)
Ho1 0.000 0.500 0.500 (multiplicity 1)
P1 0.251 0.000 0.744 (multiplicity 2)
P2 0.258 0.500 0.259 (multiplicity 2)